1.
The following is a GGA-PBE calculation of an optimized crystal structure of MnAl2Co, from the Alexandria database.

```
data_MnAl2Co
_chemical_formula_sum 'Mn2 Al4 Co2'
_space_group_name_H-M_alt 'I m m 2'
_space_group_IT_number 44
_cell_length_a 3.082
_cell_length_b 4.015
_cell_length_c 8.325
_cell_angle_alpha 90.00
_cell_angle_beta 90.00
_cell_angle_gamma 90.00
loop_
_space_group_symop_operation_xyz
'x,y,z'
'-x,-y,z'
'-x,y,z'
'x,-y,z'
'x+1/2,y+1/2,z+1/2'
'-x+1/2,-y+1/2,z+1/2'
'-x+1/2,y+1/2,z+1/2'
'x+1/2,-y+1/2,z+1/2'
loop_
_atom_site_label
_atom_site_fract_x
_atom_site_fract_y
_atom_site_fract_z
_atom_site_occupancy
Mn1 0.000 0.000 0.000 1
Al1 0.000 0.000 0.529 1
Al2 0.000 0.500 0.756 1
Co1 0.000 0.500 0.268 1
```

spin magnetization	3.59	μB per formula unit
DOS(E_F)	0.756	states/eV/atom
energy of formation	-0.30	eV per atom


2.
The following is a GGA-PBE calculation of an optimized crystal structure of Cd2SnPbAu4, from the Alexandria database.

```
data_Cd2SnPbAu4
_chemical_formula_sum 'Cd6 Sn3 Pb3 Au12'
_space_group_name_H-M_alt 'R -3 m'
_space_group_IT_number 166
_space_group_name_Hall '-R 3 2"'
_cell_length_a 5.0692
_cell_length_b 5.0692
_cell_length_c 23.4207
_cell_angle_alpha 90.00
_cell_angle_beta 90.00
_cell_angle_gamma 120.00
loop_
_atom_site_label
_atom_site_fract_x
_atom_site_fract_y
_atom_site_fract_z
_atom_site_occupancy
Cd1 0.0000 0.0000 0.2470 1
Sn1 0.0000 0.0000 0.0000 1
Pb1 0.0000 0.0000 0.5000 1
Au1 0.0000 0.0000 0.1219 1
Au2 0.0000 0.0000 0.3690 1
```

spin magnetization	0.00	μB per formula unit
DOS(E_F)	0.405	states/eV/atom
energy of formation	-0.06	eV per atom


3.
The following is a GGA-PBE calculation of an optimized crystal structure of CsNiCl, from the Alexandria database.

```
data_CsNiCl
_chemical_formula_sum 'Cs4 Ni4 Cl4'
_space_group_name_H-M_alt 'I m m 2'
_space_group_IT_number 44
_cell_length_a 5.098
_cell_length_b 10.167
_cell_length_c 8.373
_cell_angle_alpha 90.00
_cell_angle_beta 90.00
_cell_angle_gamma 90.00
loop_
_space_group_symop_operation_xyz
'x,y,z'
'-x,-y,z'
'-x,y,z'
'x,-y,z'
'x+1/2,y+1/2,z+1/2'
'-x+1/2,-y+1/2,z+1/2'
'-x+1/2,y+1/2,z+1/2'
'x+1/2,-y+1/2,z+1/2'
loop_
_atom_site_label
_atom_site_fract_x
_atom_site_fract_y
_atom_site_fract_z
_atom_site_occupancy
Cs1 0.000 0.249 0.000 1
Ni1 0.250 0.000 0.747 1
Cl1 0.000 0.000 0.539 1
Cl2 0.000 0.500 0.455 1
```

excess energy over the best structure of this formula in the dataset	20	meV/atom
spin magnetization	0.00	μB per formula unit
DOS(E_F)	0.202	states/eV/atom
formation energy from raw total energies	-0.578	eV per atom


4.
The following is a GGA-PBE calculation of an optimized crystal structure of ZrInBr4, from the Alexandria database.

```
data_ZrInBr4
_chemical_formula_sum 'Zr4 In4 Br16'
_space_group_name_H-M_alt 'F -4 3 m'
_space_group_IT_number 216
_space_group_name_Hall 'F -4 2 3'
_cell_length_a 8.896
_cell_length_b 8.896
_cell_length_c 8.896
_cell_angle_alpha 90.00
_cell_angle_beta 90.00
_cell_angle_gamma 90.00
loop_
_atom_site_label
_atom_site_fract_x
_atom_site_fract_y
_atom_site_fract_z
_atom_site_occupancy
Zr1 0.000 0.000 0.000 1
In1 0.250 0.250 0.250 1
Br1 0.126 0.126 0.626 1
```

spin magnetization	1.27	μB per formula unit
DOS(E_F)	1.476	states/eV/atom
formation energy from raw total energies	0.442	eV per atom